# Sr2GdBeO5 | the Alexandria database | PBE | optimized geometry
# Total DFT energy (no corrections)   -283.3 eV for the cell shown
# Energy relative to the elements, uncorrected   -2.76 eV/atom
# Symmetry   Pnma, No. 62
data_Sr2GdBeO5
_chemical_formula_sum 'Sr8 Gd4 Be4 O20'
_cell_length_a 9.663
_cell_length_b 7.332
_cell_length_c 6.588
_cell_angle_alpha 90.00
_cell_angle_beta 90.00
_cell_angle_gamma 90.00
_symmetry_space_group_name_H-M 'P 1'
_symmetry_Int_Tables_number 1
_symmetry_space_group_name_Hall 'P 1'
loop_
_atom_site_label
_atom_site_type_symbol
_atom_site_fract_x
_atom_site_fract_y
_atom_site_fract_z
Sr1 Sr 0.174 0.023 0.091
Sr2 Sr 0.174 0.477 0.091
Sr3 Sr 0.326 0.523 0.591
Sr4 Sr 0.326 0.977 0.591
Sr5 Sr 0.674 0.023 0.409
Sr6 Sr 0.674 0.477 0.409
Sr7 Sr 0.826 0.523 0.909
Sr8 Sr 0.826 0.977 0.909
Gd1 Gd 0.024 0.250 0.588
Gd2 Gd 0.476 0.750 0.088
Gd3 Gd 0.524 0.250 0.912
Gd4 Gd 0.976 0.750 0.412
Be1 Be 0.100 0.750 0.814
Be2 Be 0.400 0.250 0.314
Be3 Be 0.600 0.750 0.686
Be4 Be 0.900 0.250 0.186
O1 O 0.010 0.750 0.031
O2 O 0.062 0.562 0.687
O3 O 0.062 0.938 0.687
O4 O 0.209 0.750 0.339
O5 O 0.230 0.250 0.380
O6 O 0.270 0.750 0.880
O7 O 0.291 0.250 0.839
O8 O 0.438 0.062 0.187
O9 O 0.438 0.438 0.187
O10 O 0.490 0.250 0.531
O11 O 0.510 0.750 0.469
O12 O 0.562 0.562 0.813
O13 O 0.562 0.938 0.813
O14 O 0.709 0.750 0.161
O15 O 0.730 0.250 0.120
O16 O 0.770 0.750 0.620
O17 O 0.791 0.250 0.661
O18 O 0.938 0.062 0.313
O19 O 0.938 0.438 0.313
O20 O 0.990 0.250 0.969

# TcPt6Rh8 | the Alexandria database | PBE | optimized geometry
# Total DFT energy (no corrections)   -101.3 eV for the cell shown
# Energy of formation from the pure elements   0.28 eV/atom
# Symmetry   P-3, No. 147
data_TcPt6Rh8
_chemical_formula_sum 'Tc1 Pt6 Rh8'
_cell_length_a 7.296
_cell_length_b 7.296
_cell_length_c 5.258
_cell_angle_alpha 90.00
_cell_angle_beta 90.00
_cell_angle_gamma 120.00
_symmetry_space_group_name_H-M 'P 1'
_symmetry_Int_Tables_number 1
_symmetry_space_group_name_Hall 'P 1'
loop_
_atom_site_label
_atom_site_type_symbol
_atom_site_fract_x
_atom_site_fract_y
_atom_site_fract_z
Tc1 Tc 0.000 0.000 0.000
Pt1 Pt 0.065 0.397 0.155
Pt2 Pt 0.332 0.935 0.155
Pt3 Pt 0.397 0.332 0.845
Pt4 Pt 0.603 0.668 0.155
Pt5 Pt 0.668 0.065 0.845
Pt6 Pt 0.935 0.603 0.845
Rh1 Rh 0.042 0.304 0.655
Rh2 Rh 0.262 0.958 0.655
Rh3 Rh 0.304 0.262 0.345
Rh4 Rh 0.333 0.667 0.805
Rh5 Rh 0.667 0.333 0.195
Rh6 Rh 0.696 0.738 0.655
Rh7 Rh 0.738 0.042 0.345
Rh8 Rh 0.958 0.696 0.345